## P
Computed, not measured: a relaxed structure of LiCa2Cd2 at the GGA-PBE level of DFT.

a b c (Å): 8.002 8.002 4.536
angles (deg): 90.00 90.00 90.00
Element x y z (fractional)
Li1 0.000 0.000 0.000
Li2 0.500 0.500 0.000
Ca1 0.168 0.332 0.500
Ca2 0.332 0.832 0.500
Ca3 0.668 0.168 0.500
Ca4 0.832 0.668 0.500
Cd1 0.133 0.633 0.000
Cd2 0.367 0.133 0.000
Cd3 0.633 0.867 0.000
Cd4 0.867 0.367 0.000


## Q
Computed, not measured: a relaxed structure of LiCa2Cd2 at the GGA-PBE level of DFT.

a b c (Å): 9.380 9.380 9.380
angles (deg): 153.98 153.98 37.13
Element x y z (fractional)
Li1 0.000 0.000 0.000
Ca1 0.395 0.395 0.000
Ca2 0.605 0.605 0.000
Cd1 0.250 0.750 0.500
Cd2 0.750 0.250 0.500


P (213 meV/atom below the next structure)


## P
Computed, not measured: a relaxed structure of LiCa2Cd2 at the GGA-PBE level of DFT.

a b c (Å): 9.009 9.009 3.679
angles (deg): 90.00 90.00 90.00
Element x y z (fractional)
Li1 0.000 0.000 0.000
Li2 0.500 0.500 0.000
Ca1 0.147 0.353 0.000
Ca2 0.353 0.853 0.000
Ca3 0.647 0.147 0.000
Ca4 0.853 0.647 0.000
Cd1 0.148 0.648 0.500
Cd2 0.352 0.148 0.500
Cd3 0.648 0.852 0.500
Cd4 0.852 0.352 0.500


## Q
Computed, not measured: a relaxed structure of LiCa2Cd2 at the GGA-PBE level of DFT.

a b c (Å): 6.279 6.279 6.279
angles (deg): 139.91 115.42 78.80
Element x y z (fractional)
Li1 0.000 0.000 0.000
Ca1 0.291 0.791 0.500
Ca2 0.709 0.209 0.500
Cd1 0.270 0.500 0.770
Cd2 0.730 0.500 0.230


Q (149 meV/atom below the next structure)


## P
Computed, not measured: a relaxed structure of LiCa4Cd at the GGA-PBE level of DFT.

a b c (Å): 3.910 3.910 13.252
angles (deg): 90.00 90.00 90.00
Element x y z (fractional)
Li1 0.000 0.000 0.000
Ca1 0.000 0.000 0.359
Ca2 0.000 0.000 0.641
Ca3 0.500 0.500 0.149
Ca4 0.500 0.500 0.851
Cd1 0.500 0.500 0.500


## Q
Computed, not measured: a relaxed structure of LiCa4Cd at the GGA-PBE level of DFT.

a b c (Å): 5.444 5.439 7.700
angles (deg): 90.00 90.06 90.00
Element x y z (fractional)
Li1 0.000 0.000 0.000
Ca1 0.000 0.500 0.257
Ca2 0.001 0.500 0.743
Ca3 0.500 0.000 0.257
Ca4 0.500 0.000 0.743
Cd1 0.501 0.500 0.500


P (168 meV/atom below the next structure)


## P
Computed, not measured: a relaxed structure of LiCaCd at the GGA-PBE level of DFT.

a b c (Å): 5.190 5.190 5.190
angles (deg): 60.00 60.00 60.00
Element x y z (fractional)
Li1 0.000 0.000 0.000
Ca1 0.750 0.750 0.750
Cd1 0.500 0.500 0.500


## Q
Computed, not measured: a relaxed structure of LiCaCd at the GGA-PBE level of DFT.

a b c (Å): 5.972 5.972 5.972
angles (deg): 120.66 118.39 90.84
Element x y z (fractional)
Li1 0.500 0.000 0.000
Li2 0.500 0.500 0.500
Ca1 0.123 0.373 0.750
Ca2 0.877 0.627 0.250
Cd1 0.000 0.000 0.000
Cd2 0.500 0.000 0.500


Q (448 meV/atom below the next structure)